1.
CaHf2MoP after structural relaxation. Source: Alexandria, functional PBE-GGA.

Values from the calculation:
- DOS(E_F) (states/eV/f.u.) = 4.0
- E (eV/atom) = -7.239
- total moment (μB/cell) = 1.42
- space group = P4/mmm (123)

a = 4.8409 Å, b = 4.8409 Å, c = 5.1329 Å
α = 90.00°, β = 90.00°, γ = 90.00°
Fractional coordinates of all 5 atoms:
Ca 0.0000 0.0000 0.0000
Hf 0.0000 0.5000 0.5000
Hf 0.5000 0.0000 0.5000
Mo 0.5000 0.5000 0.0000
P 0.0000 0.0000 0.5000

2.
CaHf2ScMo after structural relaxation. Source: Alexandria, functional PBE-GGA.

Values from the calculation:
- DOS(E_F) (states/eV/f.u.) = 8.4
- E (eV/atom) = -6.047
- total moment (μB/cell) = 0.51
- space group = P4/mmm (123)

a = 5.1055 Å, b = 5.1055 Å, c = 4.5843 Å
α = 90.00°, β = 90.00°, γ = 90.00°
Fractional coordinates of all 5 atoms:
Ca 0.0000 0.0000 0.0000
Hf 0.0000 0.5000 0.0000
Hf 0.5000 0.0000 0.0000
Sc 0.5000 0.5000 0.5000
Mo 0.0000 0.0000 0.5000

3.
CaHfMoSe2 after structural relaxation. Source: Alexandria, functional PBE-GGA.

Values from the calculation:
- DOS(E_F) (states/eV/f.u.) = 5.4
- E (eV/atom) = -5.340
- total moment (μB/cell) = 0.40
- energy relative to the elements, uncorrected (eV per atom) = 0.611
- relative energy among the computed polymorphs (meV/atom) = 532
- space group = P4/mmm (123)

a = 4.8926 Å, b = 4.8926 Å, c = 5.4694 Å
α = 90.00°, β = 90.00°, γ = 90.00°
Fractional coordinates of all 5 atoms:
Ca 0.0000 0.0000 0.0000
Hf 0.5000 0.5000 0.0000
Mo 0.0000 0.0000 0.5000
Se 0.0000 0.5000 0.5000
Se 0.5000 0.0000 0.5000